--- a ---
VASP calculation (PBE) on a geometry-optimized Tb5Te2Pb2 structure. Values from VASP.

Cell and atoms, written as Quantum ESPRESSO input:
```
&SYSTEM
  ibrav = 0, nat = 18, ntyp = 3
/
ATOMIC_SPECIES
Tb 158.93 Tb.upf
Te 127.60 Te.upf
Pb 207.20 Pb.upf
ATOMIC_POSITIONS crystal
Tb 0.000 0.000 0.000
Tb 0.027 0.699 0.661
Tb 0.199 0.527 0.161
Tb 0.301 0.973 0.661
Tb 0.473 0.801 0.161
Tb 0.500 0.500 0.500
Tb 0.527 0.199 0.839
Tb 0.699 0.027 0.339
Tb 0.801 0.473 0.839
Tb 0.973 0.301 0.339
Te 0.201 0.201 0.000
Te 0.299 0.299 0.500
Te 0.701 0.701 0.500
Te 0.799 0.799 0.000
Pb 0.141 0.859 0.360
Pb 0.359 0.641 0.860
Pb 0.641 0.359 0.140
Pb 0.859 0.141 0.640
CELL_PARAMETERS angstrom
7.772 -4.087 0.000
7.772 4.087 0.000
0.000 0.000 8.239
```

Properties
- calculated density (kg/m3) = 9291
- symmetry = Cmce

--- b ---
VASP calculation (PBE) on a geometry-optimized Tb5Te2Pb2 structure. Values from VASP.

Cell and atoms, written as Quantum ESPRESSO input:
```
&SYSTEM
  ibrav = 0, nat = 18, ntyp = 3
/
ATOMIC_SPECIES
Tb 158.93 Tb.upf
Te 127.60 Te.upf
Pb 207.20 Pb.upf
ATOMIC_POSITIONS crystal
Tb 0.095 0.018 0.577
Tb 0.223 0.055 0.278
Tb 0.223 0.445 0.668
Tb 0.442 0.518 0.423
Tb 0.476 0.768 0.017
Tb 0.476 0.958 0.208
Tb 0.750 0.268 0.792
Tb 0.750 0.458 0.983
Tb 0.777 0.555 0.332
Tb 0.777 0.945 0.722
Te 0.730 0.230 0.500
Te 0.730 0.730 0.000
Te 0.892 0.181 0.212
Te 0.969 0.681 0.788
Pb 0.230 0.362 0.043
Pb 0.230 0.687 0.367
Pb 0.320 0.187 0.957
Pb 0.320 0.862 0.633
CELL_PARAMETERS angstrom
-8.690 3.901 4.123
8.690 -3.901 4.123
8.690 3.901 -4.123
```

Properties
- calculated density (kg/m3) = 8699
- symmetry = Ima2

Each structure's energy above the most stable one, in kJ/mol of atoms: a 0.0; b 19.4.